Compound: ZnNiTe2
Source: Alexandria via LeMat-Bulk
Functional: PBE
Structure: optimized geometry

Lattice parameters (Å, degrees): 3.2947 3.2947 7.7822 90.00 90.00 90.00
With the nearest neighbours (Å) after each atom.
Fractional coordinates of all 4 atoms:
Zn (0.0000, 0.0000, 0.0000)  8 Te 3.25, 4 Zn 3.29
Ni (0.0000, 0.0000, 0.5000)  8 Te 2.84
Te (0.5000, 0.5000, 0.2905)  4 Ni 2.84
Te (0.5000, 0.5000, 0.7095)  4 Ni 2.84

Values from the calculation:
E_form (uncorrected) in kJ/mol of atoms: 26.3
Space group: No. 123



Compound: Zn4NiTe
Source: Alexandria via LeMat-Bulk
Functional: PBE
Structure: optimized geometry

Lattice parameters (Å, degrees): 5.1938 5.1938 5.1938 60.00 60.00 60.00
With the nearest neighbours (Å) after each atom.
Fractional coordinates of all 6 atoms:
Zn (0.1238, 0.1238, 0.1238)  6 Zn 2.57-2.62
Zn (0.1238, 0.1238, 0.6285)  6 Zn 2.57-2.62
Zn (0.1238, 0.6285, 0.1238)  6 Zn 2.57-2.62
Zn (0.6285, 0.1238, 0.1238)  6 Zn 2.57-2.62
Ni (0.7500, 0.7500, 0.7500)  12 Zn 3.04, 4 Te 3.18
Te (0.5000, 0.5000, 0.5000)  12 Zn 3.05, 4 Ni 3.18

Values from the calculation:
E_form (uncorrected) in kJ/mol of atoms: 25.4
Space group: No. 216



Compound: ZnNiTe2
Source: Alexandria via LeMat-Bulk
Functional: PBE
Structure: optimized geometry

Lattice parameters (Å, degrees): 3.5719 3.5719 7.4627 90.00 90.00 90.00
With the nearest neighbours (Å) after each atom.
Fractional coordinates of all 4 atoms:
Zn (0.0000, 0.0000, 0.0000)  5 Te 2.62-2.77
Ni (0.5000, 0.5000, 0.2088)  5 Te 2.70-2.74, 4 Zn 2.97
Te (0.0000, 0.0000, 0.3506)  1 Zn 2.62, 4 Ni 2.74
Te (0.5000, 0.5000, 0.8465)  1 Ni 2.70, 4 Zn 2.77

Values from the calculation:
E_form (uncorrected) in kJ/mol of atoms: -0.8
Space group: No. 99



Compound: ZnNiTe2
Source: Alexandria via LeMat-Bulk
Functional: PBE
Structure: optimized geometry

Lattice parameters (Å, degrees): 6.8785 6.8785 6.8785 90.00 90.00 90.00
With the nearest neighbours (Å) after each atom.
Fractional coordinates of all 16 atoms:
Zn (0.0000, 0.0000, 0.0000)  8 Te 2.98
Zn (0.0000, 0.5000, 0.5000)  8 Te 2.98
Zn (0.5000, 0.0000, 0.5000)  8 Te 2.98
Zn (0.5000, 0.5000, 0.0000)  8 Te 2.98
Ni (0.0000, 0.0000, 0.5000)  8 Te 2.98
Ni (0.0000, 0.5000, 0.0000)  8 Te 2.98
Ni (0.5000, 0.0000, 0.0000)  8 Te 2.98
Ni (0.5000, 0.5000, 0.5000)  8 Te 2.98
Te (0.2500, 0.2500, 0.2500)  4 Ni 2.98, 4 Zn 2.98
Te (0.2500, 0.2500, 0.7500)  4 Ni 2.98, 4 Zn 2.98
Te (0.2500, 0.7500, 0.2500)  4 Ni 2.98, 4 Zn 2.98
Te (0.2500, 0.7500, 0.7500)  4 Ni 2.98, 4 Zn 2.98
Te (0.7500, 0.2500, 0.2500)  4 Ni 2.98, 4 Zn 2.98
Te (0.7500, 0.2500, 0.7500)  4 Ni 2.98, 4 Zn 2.98
Te (0.7500, 0.7500, 0.2500)  4 Ni 2.98, 4 Zn 2.98
Te (0.7500, 0.7500, 0.7500)  4 Ni 2.98, 4 Zn 2.98

Values from the calculation:
E_form (uncorrected) in kJ/mol of atoms: 34.6
Space group: No. 225



Compound: ZnNiTe2
Source: Alexandria via LeMat-Bulk
Functional: PBE
Structure: optimized geometry

Lattice parameters (Å, degrees): 5.9655 5.9655 11.8427 90.00 90.00 90.00
With the nearest neighbours (Å) after each atom.
Fractional coordinates of all 16 atoms:
Zn (0.0000, 0.0000, 0.0000)  4 Te 2.68
Zn (0.0000, 0.5000, 0.2500)  4 Te 2.68
Zn (0.5000, 0.0000, 0.7500)  4 Te 2.68
Zn (0.5000, 0.5000, 0.5000)  4 Te 2.68
Ni (0.0000, 0.0000, 0.5000)  4 Te 2.48
Ni (0.0000, 0.5000, 0.7500)  4 Te 2.48
Ni (0.5000, 0.0000, 0.2500)  4 Te 2.48
Ni (0.5000, 0.5000, 0.0000)  4 Te 2.48
Te (0.2217, 0.2500, 0.6250)  2 Ni 2.48, 2 Zn 2.68
Te (0.2500, 0.7217, 0.8750)  2 Ni 2.48, 2 Zn 2.68
Te (0.2500, 0.7783, 0.3750)  2 Ni 2.48, 2 Zn 2.68
Te (0.2783, 0.2500, 0.1250)  2 Ni 2.48, 2 Zn 2.68
Te (0.7217, 0.7500, 0.1250)  2 Ni 2.48, 2 Zn 2.68
Te (0.7500, 0.2217, 0.3750)  2 Ni 2.48, 2 Zn 2.68
Te (0.7500, 0.2783, 0.8750)  2 Ni 2.48, 2 Zn 2.68
Te (0.7783, 0.7500, 0.6250)  2 Ni 2.48, 2 Zn 2.68

Values from the calculation:
E_form (uncorrected) in kJ/mol of atoms: -19.1
Space group: No. 122



Compound: ZnNiTe2
Source: Alexandria via LeMat-Bulk
Functional: PBE
Structure: optimized geometry

Lattice parameters (Å, degrees): 3.9245 3.9245 23.5707 90.00 90.00 120.00
With the nearest neighbours (Å) after each atom.
Fractional coordinates of all 12 atoms:
Zn (0.0000, 0.0000, 0.0000)  2 Te 2.61
Zn (0.3333, 0.6667, 0.6667)  2 Te 2.61
Zn (0.6667, 0.3333, 0.3333)  2 Te 2.61
Ni (0.0000, 0.0000, 0.5000)  6 Te 2.62
Ni (0.3333, 0.6667, 0.1667)  6 Te 2.62
Ni (0.6667, 0.3333, 0.8333)  6 Te 2.62
Te (0.0000, 0.0000, 0.1106)  1 Zn 2.61, 3 Ni 2.62
Te (0.0000, 0.0000, 0.8894)  1 Zn 2.61, 3 Ni 2.62
Te (0.3333, 0.6667, 0.5561)  1 Zn 2.61, 3 Ni 2.62
Te (0.3333, 0.6667, 0.7773)  1 Zn 2.61, 3 Ni 2.62
Te (0.6667, 0.3333, 0.2227)  1 Zn 2.61, 3 Ni 2.62
Te (0.6667, 0.3333, 0.4439)  1 Zn 2.61, 3 Ni 2.62

Values from the calculation:
E_form (uncorrected) in kJ/mol of atoms: -1.6
Space group: No. 166



Compound: ZnNiTe2
Source: Alexandria via LeMat-Bulk
Functional: PBE
Structure: optimized geometry

Lattice parameters (Å, degrees): 5.1721 5.1721 3.0632 90.00 90.00 90.00
With the nearest neighbours (Å) after each atom.
Fractional coordinates of all 4 atoms:
Zn (0.0000, 0.0000, 0.0000)  8 Te 3.01, 2 Zn 3.06
Ni (0.5000, 0.5000, 0.0000)  8 Te 3.01, 2 Ni 3.06
Te (0.0000, 0.5000, 0.5000)  4 Ni 3.01, 4 Zn 3.01, 2 Te 3.06
Te (0.5000, 0.0000, 0.5000)  4 Ni 3.01, 4 Zn 3.01, 2 Te 3.06

Values from the calculation:
E_form (uncorrected) in kJ/mol of atoms: 30.4
Space group: No. 123



Compound: ZrNiTe
Source: Alexandria via LeMat-Bulk
Functional: PBE
Structure: optimized geometry

Lattice parameters (Å, degrees): 4.6829 5.1668 9.6271 90.00 90.00 90.00
With the nearest neighbours (Å) after each atom.
Fractional coordinates of all 12 atoms:
Zr (0.0000, 0.0000, 0.0000)  4 Ni 2.71-2.93, 3 Te 2.96-2.99
Zr (0.0000, 0.5000, 0.5000)  4 Ni 2.71-2.93, 3 Te 2.96-2.99
Zr (0.5000, 0.0000, 0.5000)  4 Ni 2.71-2.93, 3 Te 2.96-2.99
Zr (0.5000, 0.5000, 0.0000)  4 Ni 2.71-2.93, 3 Te 2.96-2.99
Ni (0.0000, 0.0000, 0.6427)  4 Zr 2.71-2.93, 4 Te 2.83-3.03
Ni (0.0000, 0.5000, 0.1427)  4 Zr 2.71-2.93, 4 Te 2.83-3.03
Ni (0.5000, 0.0000, 0.1427)  4 Zr 2.71-2.93, 4 Te 2.83-3.03
Ni (0.5000, 0.5000, 0.6427)  4 Zr 2.71-2.93, 4 Te 2.83-3.03
Te (0.0000, 0.0000, 0.3075)  4 Ni 2.83-3.03, 3 Zr 2.96-2.99
Te (0.0000, 0.5000, 0.8075)  4 Ni 2.83-3.03, 3 Zr 2.96-2.99
Te (0.5000, 0.0000, 0.8075)  4 Ni 2.83-3.03, 3 Zr 2.96-2.99
Te (0.5000, 0.5000, 0.3075)  4 Ni 2.83-3.03, 3 Zr 2.96-2.99

Values from the calculation:
E_form (uncorrected) in kJ/mol of atoms: -28.4
Space group: No. 42



Compound: ZrNiTe
Source: Alexandria via LeMat-Bulk
Functional: PBE
Structure: optimized geometry

Lattice parameters (Å, degrees): 3.5168 3.5168 9.4120 90.00 90.00 90.00
With the nearest neighbours (Å) after each atom.
Fractional coordinates of all 6 atoms:
Zr (0.0000, 0.0000, 0.0000)  4 Ni 2.83, 5 Te 2.95-3.05
Zr (0.5000, 0.5000, 0.5000)  4 Ni 2.83, 5 Te 2.95-3.05
Ni (0.0000, 0.0000, 0.3572)  4 Zr 2.83, 5 Te 2.96-3.10
Ni (0.5000, 0.5000, 0.8572)  4 Zr 2.83, 5 Te 2.96-3.10
Te (0.0000, 0.0000, 0.6870)  5 Zr 2.95-3.05, 5 Ni 2.96-3.10
Te (0.5000, 0.5000, 0.1870)  5 Zr 2.95-3.05, 5 Ni 2.96-3.10

Values from the calculation:
E_form (uncorrected) in kJ/mol of atoms: -28.0
Space group: No. 107



Compound: ZrNiTe4
Source: Alexandria via LeMat-Bulk
Functional: PBE
Structure: optimized geometry

Lattice parameters (Å, degrees): 15.3939 3.8261 6.5334 90.00 114.57 90.00
With the nearest neighbours (Å) after each atom.
Fractional coordinates of all 12 atoms:
Zr (0.0000, 0.0000, 0.0000)  6 Te 2.88-2.89
Zr (0.5000, 0.5000, 0.0000)  6 Te 2.88-2.89
Ni (0.0000, 0.5000, 0.5000)  6 Te 2.67-2.69
Ni (0.5000, 0.0000, 0.5000)  6 Te 2.67-2.69
Te (0.1167, 0.0000, 0.4778)  2 Ni 2.67, 1 Zr 2.88
Te (0.1267, 0.5000, 0.9347)  1 Ni 2.69, 2 Zr 2.89
Te (0.3733, 0.0000, 0.0653)  1 Ni 2.69, 2 Zr 2.89
Te (0.3833, 0.5000, 0.5222)  2 Ni 2.67, 1 Zr 2.88
Te (0.6167, 0.5000, 0.4778)  2 Ni 2.67, 1 Zr 2.88
Te (0.6267, 0.0000, 0.9347)  1 Ni 2.69, 2 Zr 2.89
Te (0.8733, 0.5000, 0.0653)  1 Ni 2.69, 2 Zr 2.89
Te (0.8833, 0.0000, 0.5222)  2 Ni 2.67, 1 Zr 2.88

Values from the calculation:
E_form (uncorrected) in kJ/mol of atoms: -38.1
Space group: No. 12



Compound: Zr4NiTe
Source: Alexandria via LeMat-Bulk
Functional: PBE
Structure: optimized geometry

Lattice parameters (Å, degrees): 5.7073 5.7073 5.7073 60.00 60.00 60.00
With the nearest neighbours (Å) after each atom.
Fractional coordinates of all 6 atoms:
Zr (0.1245, 0.1245, 0.1245)  6 Zr 2.84-2.87
Zr (0.1245, 0.1245, 0.6266)  6 Zr 2.84-2.87
Zr (0.1245, 0.6266, 0.1245)  6 Zr 2.84-2.87
Zr (0.6266, 0.1245, 0.1245)  6 Zr 2.84-2.87
Ni (0.7500, 0.7500, 0.7500)  12 Zr 3.34, 4 Te 3.49
Te (0.5000, 0.5000, 0.5000)  12 Zr 3.35, 4 Ni 3.49

Values from the calculation:
E_form (uncorrected) in kJ/mol of atoms: 36.4
Space group: No. 216



Compound: Zr2NiTe2
Source: Alexandria via LeMat-Bulk
Functional: PBE
Structure: optimized geometry

Lattice parameters (Å, degrees): 7.4966 7.4966 3.9686 90.00 90.00 90.00
With the nearest neighbours (Å) after each atom.
Fractional coordinates of all 10 atoms:
Zr (0.1503, 0.3497, 0.0000)  2 Ni 2.85, 6 Te 2.88-3.02, 1 Zr 3.19
Zr (0.3497, 0.8497, 0.0000)  2 Ni 2.85, 6 Te 2.88-3.02, 1 Zr 3.19
Zr (0.6503, 0.1503, 0.0000)  2 Ni 2.85, 6 Te 2.88-3.02, 1 Zr 3.19
Zr (0.8497, 0.6503, 0.0000)  2 Ni 2.85, 6 Te 2.88-3.02, 1 Zr 3.19
Ni (0.0000, 0.0000, 0.0000)  4 Zr 2.85
Ni (0.5000, 0.5000, 0.0000)  4 Zr 2.85
Te (0.1531, 0.6531, 0.5000)  6 Zr 2.88-3.02
Te (0.3469, 0.1531, 0.5000)  6 Zr 2.88-3.02
Te (0.6531, 0.8469, 0.5000)  6 Zr 2.88-3.02
Te (0.8469, 0.3469, 0.5000)  6 Zr 2.88-3.02

Values from the calculation:
E_form (uncorrected) in kJ/mol of atoms: -34.8
Space group: No. 127



Compound: Zr6NiTe2
Source: Alexandria via LeMat-Bulk
Functional: PBE
Structure: optimized geometry

Lattice parameters (Å, degrees): 7.7457 7.7457 3.7156 90.00 90.00 120.00
With the nearest neighbours (Å) after each atom.
Fractional coordinates of all 9 atoms:
Zr (0.0000, 0.4065, 0.0000)  4 Te 3.00, 1 Ni 3.15, 6 Zr 3.31
Zr (0.0000, 0.7603, 0.5000)  2 Ni 2.63
Zr (0.2397, 0.2397, 0.5000)  2 Ni 2.63
Zr (0.4065, 0.0000, 0.0000)  4 Te 3.00, 1 Ni 3.15, 6 Zr 3.31
Zr (0.5935, 0.5935, 0.0000)  4 Te 3.00, 1 Ni 3.15, 6 Zr 3.31
Zr (0.7603, 0.0000, 0.5000)  2 Ni 2.63
Ni (0.0000, 0.0000, 0.0000)  6 Zr 2.63
Te (0.3333, 0.6667, 0.5000)  9 Zr 3.00-3.01
Te (0.6667, 0.3333, 0.5000)  9 Zr 3.00-3.01

Values from the calculation:
E_form (uncorrected) in kJ/mol of atoms: -56.3
Space group: No. 189



Compound: Zr3NiTe
Source: Alexandria via LeMat-Bulk
Functional: PBE
Structure: optimized geometry

Lattice parameters (Å, degrees): 4.8908 4.8908 4.8908 90.00 90.00 90.00
With the nearest neighbours (Å) after each atom.
Fractional coordinates of all 5 atoms:
Zr (0.0000, 0.0000, 0.5000)  2 Ni 2.45
Zr (0.0000, 0.5000, 0.0000)  2 Ni 2.45
Zr (0.5000, 0.0000, 0.0000)  2 Ni 2.45
Ni (0.0000, 0.0000, 0.0000)  6 Zr 2.45
Te (0.5000, 0.5000, 0.5000)  12 Zr 3.46

Values from the calculation:
E_form (uncorrected) in kJ/mol of atoms: -2.6
Space group: No. 221



Compound: ZrNiTe
Source: Alexandria via LeMat-Bulk
Functional: PBE
Structure: optimized geometry

Lattice parameters (Å, degrees): 4.1242 4.1242 3.9734 90.00 90.00 120.00
With the nearest neighbours (Å) after each atom.
Fractional coordinates of all 3 atoms:
Zr (0.0000, 0.0000, 0.0000)  3 Ni 2.64
Ni (0.6667, 0.3333, 0.2887)  3 Te 2.54, 3 Zr 2.64
Te (0.3333, 0.6667, 0.5113)  3 Ni 2.54

Values from the calculation:
E_form (uncorrected) in kJ/mol of atoms: -49.1
Space group: No. 156



Compound: ZrNiTe4
Source: Alexandria via LeMat-Bulk
Functional: PBE
Structure: optimized geometry

Lattice parameters (Å, degrees): 6.1164 6.1164 6.1164 60.00 60.00 60.00
With the nearest neighbours (Å) after each atom.
Fractional coordinates of all 6 atoms:
Zr (0.0000, 0.0000, 0.0000)  12 Te 3.59, 4 Ni 3.75
Ni (0.7500, 0.7500, 0.7500)  12 Te 3.59, 4 Zr 3.75
Te (0.3751, 0.3751, 0.3751)  6 Te 3.05-3.06
Te (0.3751, 0.3751, 0.8746)  6 Te 3.05-3.06
Te (0.3751, 0.8746, 0.3751)  6 Te 3.05-3.06
Te (0.8746, 0.3751, 0.3751)  6 Te 3.05-3.06

Values from the calculation:
E_form (uncorrected) in kJ/mol of atoms: 82.3
Space group: No. 216



Compound: Zr2NiTe2
Source: Alexandria via LeMat-Bulk
Functional: PBE
Structure: optimized geometry

Lattice parameters (Å, degrees): 4.1774 4.1774 14.1100 90.00 90.00 90.00
With the nearest neighbours (Å) after each atom.
Fractional coordinates of all 10 atoms:
Zr (0.0000, 0.0000, 0.0994)  1 Zr 2.80, 4 Te 2.98
Zr (0.0000, 0.0000, 0.9006)  1 Zr 2.80, 4 Te 2.98
Zr (0.5000, 0.5000, 0.4006)  1 Zr 2.80, 4 Te 2.98
Zr (0.5000, 0.5000, 0.5994)  1 Zr 2.80, 4 Te 2.98
Ni (0.0000, 0.0000, 0.5000)  8 Zr 3.27
Ni (0.5000, 0.5000, 0.0000)  8 Zr 3.27
Te (0.0000, 0.5000, 0.2500)  4 Te 2.95, 4 Zr 2.98
Te (0.0000, 0.5000, 0.7500)  4 Te 2.95, 4 Zr 2.98
Te (0.5000, 0.0000, 0.2500)  4 Te 2.95, 4 Zr 2.98
Te (0.5000, 0.0000, 0.7500)  4 Te 2.95, 4 Zr 2.98

Values from the calculation:
E_form (uncorrected) in kJ/mol of atoms: 31.1
Space group: No. 139



Compound: ZrNiTe
Source: Alexandria via LeMat-Bulk
Functional: PBE
Structure: optimized geometry

Lattice parameters (Å, degrees): 10.5191 10.5191 10.5191 22.19 22.19 22.19
With the nearest neighbours (Å) after each atom.
Fractional coordinates of all 6 atoms:
Zr (0.0526, 0.0526, 0.0526)  6 Ni 2.77-2.91, 3 Te 2.91
Zr (0.9474, 0.9474, 0.9474)  6 Ni 2.77-2.91, 3 Te 2.91
Ni (0.3293, 0.3293, 0.3293)  3 Ni 2.35
Ni (0.6707, 0.6707, 0.6707)  3 Ni 2.35
Te (0.2242, 0.2242, 0.2242)  3 Zr 2.91, 1 Ni 3.23
Te (0.7758, 0.7758, 0.7758)  3 Zr 2.91, 1 Ni 3.23

Values from the calculation:
E_form (uncorrected) in kJ/mol of atoms: -52.3
Space group: No. 166



Compound: Th3Ni
Source: Alexandria via LeMat-Bulk
Functional: PBE
Structure: optimized geometry

Lattice parameters (Å, degrees): 3.5706 10.2400 5.9414 90.00 90.00 90.00
With the nearest neighbours (Å) after each atom.
Fractional coordinates of all 8 atoms:
Th (0.0000, 0.0000, 0.0000)  2 Ni 2.84
Th (0.0000, 0.1992, 0.4632)  2 Ni 2.88
Th (0.0000, 0.8008, 0.4632)  2 Ni 2.88
Th (0.5000, 0.3008, 0.9632)  2 Ni 2.88
Th (0.5000, 0.5000, 0.5000)  2 Ni 2.84
Th (0.5000, 0.6992, 0.9632)  2 Ni 2.88
Ni (0.0000, 0.5000, 0.1292)  6 Th 2.84-2.88
Ni (0.5000, 0.0000, 0.6292)  6 Th 2.84-2.88

Values from the calculation:
DFT formation energy in eV per formula unit: -0.6
Space group: No. 44



Compound: ThNi5
Source: Alexandria via LeMat-Bulk
Functional: PBE
Structure: optimized geometry

Lattice parameters (Å, degrees): 4.9420 4.9420 3.9957 90.00 90.00 120.00
With the nearest neighbours (Å) after each atom.
Fractional coordinates of all 6 atoms:
Th (0.0000, 0.0000, 0.0000)  18 Ni 2.85-3.18
Ni (0.0000, 0.5000, 0.5000)  8 Ni 2.45-2.47
Ni (0.3333, 0.6667, 0.0000)  6 Ni 2.45
Ni (0.5000, 0.0000, 0.5000)  8 Ni 2.45-2.47
Ni (0.5000, 0.5000, 0.5000)  8 Ni 2.45-2.47
Ni (0.6667, 0.3333, 0.0000)  6 Ni 2.45

Values from the calculation:
DFT formation energy in eV per formula unit: -2.4
Space group: No. 191